No. 1
VASP calculation (PBEsol) on a relaxed TlVSeO5 crystal.

Summary:
As for the formation energy (no corrections): -1.49 eV per atom. The value obtained for the magnetization is 0.000 μB/f.u. As for the space group: Pna2_1 (33).

Lattice parameters (Å, degrees): 7.082 7.820 8.581 90.00 90.00 90.00
Element x y z (fractional)
O 0.893 0.716 0.955
V 0.216 0.293 0.242
O 0.253 0.437 0.425
O 0.938 0.328 0.322
O 0.753 0.437 0.075
O 0.223 0.101 0.320
O 0.438 0.328 0.178
Tl 0.973 0.684 0.394
O 0.277 0.601 0.820
O 0.607 0.216 0.455
Tl 0.527 0.184 0.894
O 0.747 0.937 0.575
O 0.883 0.031 0.871
Se 0.963 0.501 0.979
O 0.117 0.531 0.129
O 0.247 0.937 0.925
O 0.393 0.716 0.545
Se 0.537 0.001 0.479
V 0.716 0.293 0.258
Tl 0.027 0.184 0.606
Se 0.463 0.501 0.521
O 0.062 0.828 0.678
O 0.777 0.601 0.680
O 0.562 0.828 0.822
V 0.284 0.793 0.742
Se 0.037 0.001 0.021
O 0.107 0.216 0.045
Tl 0.473 0.684 0.106
O 0.617 0.531 0.371
O 0.383 0.031 0.629
V 0.784 0.793 0.758
O 0.723 0.101 0.180



No. 2
VASP calculation (PBEsol) on a relaxed CaTc2W crystal.

Summary:
The energy of formation comes out at 0.508 eV per atom. The energy above the most stable polymorph in this dataset is 0.0 meV per atom. The value obtained for the magnetization is 0.000 μB/f.u. As for the space group: P2/m (10).

Lattice parameters (Å, degrees): 2.828 4.139 6.159 90.00 100.37 90.00
Element x y z (fractional)
Tc 0.282 0.000 0.193
W 0.500 0.500 0.000
Ca 0.000 0.500 0.500
Tc 0.718 0.000 0.807



No. 3
VASP calculation (PBEsol) on a relaxed Zr4NbGa3 crystal.

Summary:
The energy of formation comes out at -0.547 eV per atom. The value obtained for the magnetization is 0.001 μB/f.u. As for the space group: I4/mcm (140).

Lattice parameters (Å, degrees): 5.240 7.991 7.991 83.83 70.86 70.86
Element x y z (fractional)
Zr 0.919 0.861 0.301
Zr 0.780 0.301 0.139
Nb 0.250 0.500 0.500
Ga 0.341 0.818 0.500
Zr 0.720 0.861 0.699
Zr 0.220 0.699 0.861
Ga 0.841 0.500 0.818
Zr 0.581 0.699 0.139
Zr 0.419 0.301 0.861
Ga 0.659 0.182 0.500
Zr 0.280 0.139 0.301
Nb 0.750 0.500 0.500
Zr 0.081 0.139 0.699
Ga 0.750 0.000 0.000
Ga 0.250 0.000 0.000
Ga 0.159 0.500 0.182



No. 4
VASP calculation (PBEsol) on a relaxed LiGd2Ru crystal.

Summary:
The energy of formation comes out at -0.195 eV per atom. The value obtained for the magnetization is 14.279 μB/f.u. As for the space group: Fm-3m (225).

Lattice parameters (Å, degrees): 4.874 4.874 4.874 60.00 60.00 60.00
Element x y z (fractional)
Li 0.000 0.000 0.000
Gd 0.250 0.250 0.250
Gd 0.750 0.750 0.750
Ru 0.500 0.500 0.500



No. 5
VASP calculation (PBEsol) on a relaxed Cd2CoTe crystal.

Summary:
As for the formation energy (no corrections): 0.10 eV per atom. The value obtained for the magnetization is 0.001 μB/f.u. As for the space group: Cm (8).

Lattice parameters (Å, degrees): 3.056 4.887 6.465 110.51 90.00 108.22
Element x y z (fractional)
Te 0.847 0.694 0.279
Co 0.451 0.903 0.594
Cd 0.200 0.399 0.674
Cd 0.002 0.004 0.953



No. 6
VASP calculation (PBEsol) on a relaxed RbCSeN2 crystal.

Summary:
As for the formation energy (no corrections): 2.22 eV per atom. The energy above the most stable polymorph in this dataset is 0.0 meV per atom. The value obtained for the magnetization is 2.762 μB/f.u. As for the space group: P4/mmm (123).

Lattice parameters (Å, degrees): 4.243 4.151 4.151 90.00 90.00 90.00
Element x y z (fractional)
Se 0.500 0.000 0.000
N 0.000 0.000 0.500
Rb 0.500 0.500 0.500
N 0.000 0.500 0.000
C 0.000 0.000 0.000



No. 7
VASP calculation (PBEsol) on a relaxed Ba2InPb crystal.

Summary:
The energy of formation comes out at -0.466 eV per atom. The energy above the most stable polymorph in this dataset is 54.8 meV per atom. The value obtained for the magnetization is 0.000 μB/f.u. As for the space group: I4/mmm (139).

Lattice parameters (Å, degrees): 5.946 5.951 5.946 60.03 90.00 119.97
Element x y z (fractional)
Pb 0.500 0.000 0.500
Ba 0.750 0.500 0.750
Ba 0.250 0.500 0.250
In 0.000 0.000 0.000



No. 8
VASP calculation (PBEsol) on a relaxed LaCu2Ir crystal.

Summary:
The energy of formation comes out at 0.100 eV per atom. The energy above the most stable polymorph in this dataset is 281.6 meV per atom. The value obtained for the magnetization is 0.000 μB/f.u. As for the space group: F-43m (216).

Lattice parameters (Å, degrees): 4.624 4.624 4.624 60.00 60.00 60.00
Element x y z (fractional)
Cu 0.750 0.750 0.750
Cu 0.000 0.000 0.000
Ir 0.500 0.500 0.500
La 0.250 0.250 0.250



No. 9
VASP calculation (PBEsol) on a relaxed BaHg2Pb crystal.

Summary:
The energy of formation comes out at -0.469 eV per atom. The energy above the most stable polymorph in this dataset is 0.0 meV per atom. The value obtained for the magnetization is 0.000 μB/f.u. As for the space group: I4/mmm (139).

Lattice parameters (Å, degrees): 5.479 5.467 5.479 59.93 90.00 120.07
Element x y z (fractional)
Pb 0.000 0.000 0.000
Hg 0.250 0.500 0.250
Ba 0.500 0.000 0.500
Hg 0.750 0.500 0.750



No. 10
VASP calculation (PBEsol) on a relaxed AgTeO3 crystal.

Summary:
As for the formation energy (no corrections): -0.72 eV per atom. The value obtained for the magnetization is 0.000 μB/f.u. As for the space group: P2_1/c (14).

Lattice parameters (Å, degrees): 5.982 7.914 11.477 90.00 90.00 101.25
Element x y z (fractional)
O 0.424 0.258 0.359
O 0.857 0.425 0.313
Te 0.391 0.314 0.929
Te 0.600 0.498 0.374
O 0.674 0.450 0.541
Ag 0.435 0.037 0.645
Ag 0.065 0.463 0.145
Te 0.100 0.998 0.126
Te 0.891 0.814 0.571
Ag 0.565 0.963 0.355
Ag 0.935 0.537 0.855
O 0.643 0.075 0.813
O 0.326 0.550 0.459
O 0.027 0.930 0.732
O 0.741 0.764 0.902
O 0.143 0.575 0.687
Ag 0.349 0.786 0.829
Te 0.900 0.002 0.874
O 0.241 0.264 0.598
O 0.973 0.070 0.268
O 0.204 0.974 0.470
Te 0.109 0.186 0.429
O 0.259 0.236 0.098
O 0.296 0.526 0.970
Ag 0.849 0.286 0.671
O 0.759 0.736 0.402
O 0.796 0.026 0.530
Te 0.609 0.686 0.071
Ag 0.651 0.214 0.171
O 0.357 0.925 0.187
O 0.174 0.950 0.959
Te 0.400 0.502 0.626
O 0.924 0.758 0.141
O 0.826 0.050 0.041
O 0.527 0.430 0.768
O 0.076 0.242 0.859
O 0.704 0.474 0.030
O 0.576 0.742 0.641
O 0.473 0.570 0.232
Ag 0.151 0.714 0.329



No. 11
VASP calculation (PBEsol) on a relaxed MgSb2Rh crystal.

Summary:
As for the formation energy (no corrections): -0.24 eV per atom. The value obtained for the magnetization is 0.000 μB/f.u. As for the space group: Imm2 (44).

Lattice parameters (Å, degrees): 3.203 4.173 6.909 107.58 103.40 90.00
Element x y z (fractional)
Rh 0.274 0.774 0.549
Mg 0.561 0.561 0.122
Sb 0.722 0.222 0.445
Sb 0.942 0.942 0.884



No. 12
VASP calculation (PBEsol) on a relaxed In2FeH crystal.

Summary:
The value obtained for the magnetization is 2.521 μB/f.u. As for the space group: Fm-3m (225). For the uncorrected energy, the calculation gives -3.9147 eV per atom.

Lattice parameters (Å, degrees): 4.448 4.448 4.448 60.00 60.00 60.00
Element x y z (fractional)
Fe 0.500 0.500 0.500
In 0.750 0.750 0.750
H 0.000 0.000 0.000
In 0.250 0.250 0.250



No. 13
VASP calculation (PBEsol) on a relaxed TcAg2BI crystal.

Summary:
As for the formation energy (no corrections): 2.36 eV per atom. The value obtained for the magnetization is 1.703 μB/f.u. As for the space group: P4/mmm (123).

Lattice parameters (Å, degrees): 4.908 5.144 5.144 90.00 90.00 90.00
Element x y z (fractional)
Ag 0.000 0.000 0.500
Ag 0.000 0.500 0.000
Tc 0.500 0.000 0.000
I 0.000 0.000 0.000
B 0.500 0.500 0.500



No. 14
VASP calculation (PBEsol) on a relaxed BaPb3Cl crystal.

Summary:
As for the formation energy (no corrections): 0.83 eV per atom. The value obtained for the magnetization is 0.006 μB/f.u. As for the space group: Pm-3m (221).

Lattice parameters (Å, degrees): 6.247 6.247 6.247 90.00 90.00 90.00
Element x y z (fractional)
Pb 0.000 0.000 0.500
Cl 0.500 0.500 0.500
Pb 0.000 0.500 0.000
Pb 0.500 0.000 0.000
Ba 0.000 0.000 0.000



No. 15
VASP calculation (PBEsol) on a relaxed V2P4S13 crystal.

Summary:
As for the formation energy (no corrections): -0.38 eV per atom. The value obtained for the magnetization is 4.000 μB/f.u. As for the space group: P-1 (2).

Lattice parameters (Å, degrees): 9.122 9.619 11.537 73.23 71.30 70.23
Element x y z (fractional)
S 0.115 0.273 0.845
S 0.885 0.727 0.155
S 0.153 0.996 0.076
V 0.895 0.489 0.896
S 0.901 0.562 0.676
S 0.653 0.844 0.463
S 0.437 0.496 0.365
S 0.293 0.803 0.557
P 0.248 0.570 0.272
V 0.402 0.986 0.394
S 0.563 0.504 0.635
V 0.105 0.511 0.104
S 0.485 0.824 0.757
P 0.501 0.258 0.390
S 0.707 0.197 0.443
S 0.078 0.634 0.887
S 0.693 0.704 0.954
S 0.139 0.090 0.352
P 0.499 0.742 0.610
S 0.347 0.156 0.537
S 0.677 0.388 0.914
S 0.099 0.438 0.324
S 0.893 0.235 0.652
P 0.752 0.430 0.728
S 0.323 0.612 0.086
P 0.772 0.066 0.755
S 0.467 0.863 0.221
S 0.922 0.366 0.113
S 0.307 0.296 0.046
P 0.228 0.934 0.245
P 0.869 0.769 0.978
S 0.861 0.910 0.648
S 0.533 0.137 0.779
S 0.107 0.765 0.348
S 0.515 0.176 0.243
S 0.847 0.004 0.924
P 0.131 0.231 0.022
V 0.598 0.014 0.606



No. 16
VASP calculation (PBEsol) on a relaxed Li2ReW crystal.

Summary:
The energy of formation comes out at 0.255 eV per atom. The energy above the most stable polymorph in this dataset is 0.0 meV per atom. The value obtained for the magnetization is 0.001 μB/f.u. As for the space group: Cmm2 (35).

Lattice parameters (Å, degrees): 2.657 2.657 9.397 90.00 90.00 110.79
Element x y z (fractional)
W 0.500 0.500 0.261
Re 0.000 0.000 0.495
Li 0.500 0.500 0.732
Li 0.000 0.000 0.012



No. 17
VASP calculation (PBEsol) on a relaxed Mn2CuIr crystal.

Summary:
The energy of formation comes out at 0.300 eV per atom. The value obtained for the magnetization is 3.184 μB/f.u. As for the space group: Cmm2 (35).

Lattice parameters (Å, degrees): 2.547 2.547 8.355 90.00 90.00 115.81
Element x y z (fractional)
Mn 0.500 0.500 0.760
Cu 0.000 0.000 0.512
Ir 0.500 0.500 0.242
Mn 0.000 0.000 0.985



No. 18
VASP calculation (PBEsol) on a relaxed ScRuRh3 crystal.

Summary:
The energy of formation comes out at 1.397 eV per atom. The value obtained for the magnetization is 4.183 μB/f.u. As for the space group: Pm-3m (221).

Lattice parameters (Å, degrees): 4.481 4.481 4.481 90.00 90.00 90.00
Element x y z (fractional)
Sc 0.000 0.000 0.000
Ru 0.500 0.500 0.500
Rh 0.500 0.000 0.000
Rh 0.000 0.000 0.500
Rh 0.000 0.500 0.000



No. 19
VASP calculation (PBEsol) on a relaxed Al3FeS crystal.

Summary:
As for the formation energy (no corrections): 0.28 eV per atom. The value obtained for the magnetization is 0.403 μB/f.u. As for the space group: Pm-3m (221).

Lattice parameters (Å, degrees): 4.465 4.465 4.465 90.00 90.00 90.00
Element x y z (fractional)
S 0.500 0.500 0.500
Al 0.500 0.000 0.000
Al 0.000 0.500 0.000
Al 0.000 0.000 0.500
Fe 0.000 0.000 0.000



No. 20
VASP calculation (PBEsol) on a relaxed CsNbNi2I crystal.

Summary:
As for the formation energy (no corrections): 0.67 eV per atom. The value obtained for the magnetization is 0.004 μB/f.u. As for the space group: P4/mmm (123).

Lattice parameters (Å, degrees): 4.849 4.849 5.480 90.00 90.00 90.00
Element x y z (fractional)
Ni 0.000 0.500 0.000
Nb 0.000 0.000 0.000
I 0.000 0.000 0.500
Cs 0.500 0.500 0.500
Ni 0.500 0.000 0.000



No. 21
VASP calculation (PBEsol) on a relaxed MgZnIn crystal.

Summary:
The energy of formation comes out at -0.021 eV per atom. The value obtained for the magnetization is 0.000 μB/f.u. As for the space group: P3m1 (156).

Lattice parameters (Å, degrees): 3.232 4.641 4.641 120.00 90.00 90.00
Element x y z (fractional)
Zn 0.166 0.667 0.333
Mg 0.667 0.333 0.667
In 0.167 0.000 0.000



No. 22
VASP calculation (PBEsol) on a relaxed Mg2In crystal.

Summary:
The energy of formation comes out at -0.070 eV per atom. The value obtained for the magnetization is 0.000 μB/f.u. As for the space group: Cm (8).

Lattice parameters (Å, degrees): 3.284 5.954 7.466 103.08 90.00 106.01
Element x y z (fractional)
In 0.993 0.986 0.993
Mg 0.715 0.431 0.946
Mg 0.392 0.784 0.275
In 0.674 0.348 0.341
Mg 0.057 0.114 0.608
Mg 0.335 0.670 0.670



No. 23
VASP calculation (PBEsol) on a relaxed TaCoSe2 crystal.

Summary:
As for the formation energy (no corrections): -0.33 eV per atom. The value obtained for the magnetization is 0.000 μB/f.u. As for the space group: Imm2 (44).

Lattice parameters (Å, degrees): 3.237 3.453 6.663 105.01 104.06 90.00
Element x y z (fractional)
Co 0.235 0.735 0.470
Se 0.727 0.227 0.453
Ta 0.570 0.570 0.140
Se 0.969 0.969 0.937